The following is a PBE-GGA calculation of a geometry-optimized KIrAu structure, from Alexandria via LeMat-Bulk.

Summary:
- E above lowest polymorph: 0.559 eV/atom
- Space-group type: P-6m2
- Energy of formation: 0.6649 eV per atom

Cell: 5.176 5.176 2.689 Å, 90.00 90.00 120.00°
Fractional positions:
K 0.000 0.000 0.000
Ir 0.333 0.667 0.500
Au 0.667 0.333 0.500

---

The following is a PBE-GGA calculation of a geometry-optimized TiPb2Cl6 structure, from Alexandria via LeMat-Bulk.

Summary:
- E_form (uncorrected): -10.725 eV per formula unit
- Space-group type: P4_2/mnm

Cell: 6.522 6.522 12.725 Å, 90.00 90.00 90.00°
Fractional positions:
Ti 0.000 0.000 0.000
Ti 0.500 0.500 0.500
Pb 0.000 0.000 0.335
Pb 0.000 0.000 0.665
Pb 0.500 0.500 0.165
Pb 0.500 0.500 0.835
Cl 0.183 0.183 0.150
Cl 0.183 0.183 0.850
Cl 0.227 0.227 0.500
Cl 0.273 0.727 0.000
Cl 0.317 0.683 0.350
Cl 0.317 0.683 0.650
Cl 0.683 0.317 0.350
Cl 0.683 0.317 0.650
Cl 0.727 0.273 0.000
Cl 0.773 0.773 0.500
Cl 0.817 0.817 0.150
Cl 0.817 0.817 0.850

---

The following is a PBE-GGA calculation of a geometry-optimized Ho8CoPb2 structure, from Alexandria via LeMat-Bulk.

Summary:
- Space-group type: C2/m
- Energy of formation: -0.2196 eV per atom

Cell: 9.763 9.763 6.983 Å, 97.18 97.18 28.02°
Fractional positions:
Ho 0.003 0.003 0.276
Ho 0.216 0.216 0.831
Ho 0.367 0.367 0.471
Ho 0.406 0.406 0.992
Ho 0.594 0.594 0.008
Ho 0.633 0.633 0.529
Ho 0.784 0.784 0.169
Ho 0.997 0.997 0.724
Co 0.500 0.500 0.500
Pb 0.182 0.182 0.279
Pb 0.818 0.818 0.721

---

The following is a PBE-GGA calculation of a geometry-optimized LiAcEuCo structure, from Alexandria via LeMat-Bulk.

Summary:
- Space-group type: F-43m
- Energy of formation: 0.1519 eV per atom

Cell: 5.207 5.207 5.207 Å, 60.00 60.00 60.00°
Fractional positions:
Li 0.000 0.000 0.000
Ac 0.250 0.250 0.250
Eu 0.750 0.750 0.750
Co 0.500 0.500 0.500

---

The following is a PBE-GGA calculation of a geometry-optimized CsLiLa2S4 structure, from Alexandria via LeMat-Bulk.

Summary:
- E_form (uncorrected): -15.211 eV per formula unit
- Space-group type: Cmcm

Cell: 7.563 7.563 14.586 Å, 90.00 90.00 147.00°
Fractional positions:
Cs 0.104 0.896 0.750
Cs 0.896 0.104 0.250
Li 0.171 0.829 0.250
Li 0.829 0.171 0.750
La 0.366 0.634 0.559
La 0.366 0.634 0.941
La 0.634 0.366 0.059
La 0.634 0.366 0.441
S 0.000 0.000 0.000
S 0.000 0.000 0.500
S 0.255 0.745 0.105
S 0.255 0.745 0.395
S 0.411 0.589 0.750
S 0.589 0.411 0.250
S 0.745 0.255 0.605
S 0.745 0.255 0.895

---

The following is a PBE-GGA calculation of a geometry-optimized La2ZrTlO structure, from Alexandria via LeMat-Bulk.

Summary:
- E_form (uncorrected): -6.061 eV per formula unit
- Space-group type: P4/mmm

Cell: 5.211 5.211 4.446 Å, 90.00 90.00 90.00°
Fractional positions:
La 0.000 0.500 0.000
La 0.500 0.000 0.000
Zr 0.000 0.000 0.500
Tl 0.500 0.500 0.500
O 0.000 0.000 0.000

---

The following is a PBE-GGA calculation of a geometry-optimized SrC3 structure, from Alexandria via LeMat-Bulk.

Summary:
- E above lowest polymorph: 2.472 eV/atom
- Space-group type: I4/mmm
- Energy of formation: 3.0599 eV per atom

Cell: 4.491 4.491 4.491 Å, 129.40 129.40 74.36°
Fractional positions:
Sr 0.000 0.000 0.000
C 0.250 0.750 0.500
C 0.500 0.500 0.000
C 0.750 0.250 0.500

---

The following is a PBE-GGA calculation of a geometry-optimized LiFeSe2 structure, from Alexandria via LeMat-Bulk.

Summary:
- E_form (uncorrected): -2.026 eV per formula unit
- Space-group type: C2/m

Cell: 3.596 3.596 6.469 Å, 106.18 106.18 60.09°
Fractional positions:
Li 0.000 0.000 0.000
Fe 0.500 0.500 0.500
Se 0.236 0.236 0.708
Se 0.764 0.764 0.292

---

The following is a PBE-GGA calculation of a geometry-optimized Nd2Ga6Fe structure, from Alexandria via LeMat-Bulk.

Summary:
- Space-group type: Fm-3m
- Energy of formation: -0.5281 eV per atom

Cell: 6.254 6.254 6.254 Å, 60.00 60.00 60.00°
Fractional positions:
Nd 0.250 0.250 0.250
Nd 0.750 0.750 0.750
Ga 0.221 0.221 0.779
Ga 0.221 0.779 0.221
Ga 0.221 0.779 0.779
Ga 0.779 0.221 0.221
Ga 0.779 0.221 0.779
Ga 0.779 0.779 0.221
Fe 0.500 0.500 0.500

---

The following is a PBE-GGA calculation of a geometry-optimized Tb6Rh2Se3S structure, from Alexandria via LeMat-Bulk.

Summary:
- E_form (uncorrected): -17.745 eV per formula unit
- Space-group type: C2/m

Cell: 9.287 9.287 8.351 Å, 106.10 106.10 24.77°
Fractional positions:
Tb 0.010 0.010 0.247
Tb 0.332 0.332 0.419
Tb 0.332 0.332 0.882
Tb 0.668 0.668 0.118
Tb 0.668 0.668 0.581
Tb 0.990 0.990 0.753
Rh 0.172 0.172 0.350
Rh 0.828 0.828 0.650
Se 0.159 0.159 0.847
Se 0.500 0.500 0.500
Se 0.841 0.841 0.153
S 0.500 0.500 0.000

---

The following is a PBE-GGA calculation of a geometry-optimized LiScGe structure, from Alexandria via LeMat-Bulk.

Summary:
- Space-group type: P6_3/mmc
- Energy of formation: 1.1051 eV per atom

Cell: 5.105 5.105 10.293 Å, 90.00 90.00 120.00°
Fractional positions:
Li 0.333 0.667 0.250
Li 0.667 0.333 0.750
Sc 0.000 0.000 0.250
Sc 0.000 0.000 0.750
Ge 0.000 0.000 0.000
Ge 0.000 0.000 0.500

---

The following is a PBE-GGA calculation of a geometry-optimized NaTl2ZnFe structure, from Alexandria via LeMat-Bulk.

Summary:
- Space-group type: P4/mmm
- Energy of formation: 1.0797 eV per atom

Cell: 5.553 5.553 5.015 Å, 90.00 90.00 90.00°
Fractional positions:
Na 0.000 0.000 0.000
Tl 0.000 0.500 0.000
Tl 0.500 0.000 0.000
Zn 0.500 0.500 0.500
Fe 0.000 0.000 0.500

---

The following is a PBE-GGA calculation of a geometry-optimized MgUP structure, from Alexandria via LeMat-Bulk.

Summary:
- Space-group type: R-3m
- Energy of formation: -0.4844 eV per atom

Cell: 9.010 9.010 9.010 Å, 24.92 24.92 24.92°
Fractional positions:
Mg 0.203 0.203 0.203
Mg 0.797 0.797 0.797
U 0.359 0.359 0.359
U 0.641 0.641 0.641
P 0.094 0.094 0.094
P 0.906 0.906 0.906

---

no.,total DFT energy (no corrections) (eV/atom),ρ (g/cm³)
1,-3.75,11.4
2,-4.12,4.1
3,-4.87,9.6
4,-5.70,7.4
5,-5.54,4.0
6,-6.36,8.1
7,-4.28,3.9
8,-4.84,5.3
9,-4.55,7.3
10,-6.23,8.2
11,-3.18,1.8
12,-2.08,5.9
13,-6.58,8.5